# Mg2VInO6 PBE+U optimized geometry
# * DFT total energy: -6.41 eV/atom
# * DOS at the Fermi energy: 0.00 states/eV/f.u.
data_Mg2VInO6
_chemical_formula_sum 'Mg6 V3 In3 O18'
_cell_length_a 5.2234
_cell_length_b 5.2234
_cell_length_c 14.0206
_cell_angle_alpha 90.00
_cell_angle_beta 90.00
_cell_angle_gamma 120.00
_space_group_name_H-M_alt 'R 3'
_space_group_IT_number 146
_space_group_name_Hall 'R 3'
loop_
_atom_site_label
_atom_site_fract_x
_atom_site_fract_y
_atom_site_fract_z
Mg1 0.0000 0.0000 0.0000
Mg2 0.0000 0.0000 0.4977
V1 0.0000 0.0000 0.2064
In1 0.0000 0.0000 0.7166
O1 0.0085 0.3690 0.9320
O2 0.0120 0.7214 0.1068